Below is HgRuPt3 after structural relaxation, with properties calculated at the PBE level.

POSCAR file:
```
HgRuPt3
1.0
4.9678 0.0000 0.0000
0.0000 4.9678 0.0000
0.0000 0.0000 4.9678
Hg Ru Pt
1 1 3
Cartesian
0.0000 0.0000 0.0000 Hg
2.4839 2.4839 2.4839 Ru
0.0000 0.0000 2.4839 Pt
0.0000 2.4839 0.0000 Pt
2.4839 0.0000 0.0000 Pt
```

Values from the calculation:
SG: Pm-3m
Energy relative to the lowest polymorph listed for this composition, meV per atom: 764
Fermi-level density of states, states/eV/f.u.: 7.434
ρ, g/cm³: 12.01
Uncorrected energy, eV per atom: -3.58
Energy relative to the elements, eV/atom: 1.9599